Here is a relaxed structure of K2ErAuO4 from Alexandria. Energies are from PBE-GGA.

Unit cell a=6.189 b=7.791 c=12.575 alpha=84.39 beta=75.75 gamma=66.60
Element x y z (fractional)
O 0.638 0.199 0.003
O 0.112 0.301 0.497
O 0.391 0.699 0.497
O 0.910 0.699 0.503
O 0.359 0.801 0.003
O 0.587 0.301 0.503
O 0.163 0.199 0.997
O 0.840 0.801 0.997
K 0.950 0.500 0.101
K 0.200 0.000 0.601
K 0.800 0.000 0.399
K 0.550 0.500 0.899
Er 0.000 0.000 0.000
Er 0.750 0.500 0.500
Au 0.500 0.000 0.000
Au 0.250 0.500 0.500

Output
- M_tot: 0.00 μB per cell
- Symmetry: No. 70
- VASP energy: -0.18789 Ha/atom
- Formation energy without anion corrections: -1.379 eV per atom

Here is a relaxed structure of KEr2AuS4 from Alexandria. Energies are from PBE-GGA.

Unit cell a=4.001 b=7.029 c=14.060 alpha=90.00 beta=90.00 gamma=106.53
Element x y z (fractional)
S 0.551 0.102 0.250
S 0.449 0.898 0.750
S 0.263 0.526 0.101
S 0.737 0.474 0.601
S 0.263 0.526 0.399
S 0.737 0.474 0.899
S 0.000 0.000 0.500
S 0.000 0.000 0.000
Er 0.631 0.262 0.067
Er 0.631 0.262 0.433
Er 0.369 0.738 0.567
Er 0.369 0.738 0.933
Au 0.840 0.680 0.750
Au 0.160 0.320 0.250
K 0.121 0.242 0.750
K 0.879 0.758 0.250

Output
- M_tot: 0.00 μB per cell
- Symmetry: No. 63
- VASP energy: -0.19423 Ha/atom
- Formation energy without anion corrections: -1.534 eV per atom

Here is a relaxed structure of K2ErSb4Au3 from Alexandria. Energies are from PBE-GGA.

Unit cell a=4.795 b=4.795 c=12.261 alpha=90.00 beta=90.00 gamma=90.00
Element x y z (fractional)
Au 0.000 0.000 0.500
Au 0.500 0.000 0.870
Au 0.000 0.500 0.130
Sb 0.000 0.500 0.357
Sb 0.500 0.500 0.000
Sb 0.000 0.000 0.000
Sb 0.500 0.000 0.643
K 0.000 0.500 0.757
K 0.500 0.000 0.243
Er 0.500 0.500 0.500

Output
- M_tot: 0.00 μB per cell
- Symmetry: No. 115
- VASP energy: -0.13886 Ha/atom
- Formation energy without anion corrections: -0.471 eV per atom

Here is a relaxed structure of KErSb2Au2 from Alexandria. Energies are from PBE-GGA.

Unit cell a=4.647 b=4.647 c=9.177 alpha=90.00 beta=90.00 gamma=120.00
Element x y z (fractional)
Sb 0.667 0.333 0.271
Sb 0.333 0.667 0.729
Er 0.000 0.000 0.500
Au 0.667 0.333 0.667
Au 0.333 0.667 0.333
K 0.000 0.000 0.000

Output
- M_tot: 0.00 μB per cell
- Symmetry: No. 164
- VASP energy: -0.15033 Ha/atom
- Formation energy without anion corrections: -0.681 eV per atom